# 1
20
Lattice="-6.1013 -1.6535 -3.5435 3.0237 -6.5378 -2.1558 -3.7348 -4.5541 8.5726" Properties=species:S:1:pos:R:3 comment="Ba2TbPaS6 | the Alexandria database | PBE | relaxed" e_form_raw_ev_per_atom=-1.992 density_g_cm3=5.0 pbc="T T T"
S -6.9440 -7.3951 5.0734
S -2.2699 -3.7639 2.7328
S -5.9818 -10.8887 3.6568
S -4.9483 -6.0766 -2.1798
Tb -4.9181 -3.1038 2.5145
S -4.4311 -2.2266 -0.0184
S -1.8641 -6.6687 5.0531
Pa -0.3555 -5.5459 3.2084
Ba 1.8007 -7.2996 0.0534
Ba -8.6131 -5.4457 2.8199
Ba -2.5554 -4.8059 -0.5071
S -2.3813 -10.5187 2.8917
S 0.1316 -5.3502 -2.2000
S -4.5425 -8.9814 0.1406
Ba -4.2570 -7.9394 3.3805
Pa -3.0507 -0.8267 -1.7717
Tb 1.5119 -3.2689 -1.0779
S -5.4473 -5.6121 1.5162
S -1.3651 -7.1332 1.3571
S -0.8306 -1.8566 -0.7834

# 2
8
Lattice="6.6537 0.0000 0.0000 0.0000 6.6537 0.0000 3.3269 3.3269 2.4715" Properties=species:S:1:pos:R:3 comment="BeGa2Co | the Alexandria database | PBE | relaxed" delta_e_f_ev_per_atom=0.391 density_g_cm3=6.3 pbc="T T T"
Co 0.0000 0.0000 0.0000
Ga 8.3172 8.2980 1.8536
Ga 4.9903 5.0094 1.8536
Ga 4.9712 1.6634 0.6179
Be 3.3269 3.3269 0.0000
Co 6.6537 3.3269 1.2357
Be 3.3269 6.6537 1.2357
Ga 1.6825 4.9903 0.6179

# 3
8
Lattice="-1.3698 -2.3152 5.2798 -0.9264 -5.4313 -1.9190 5.0609 3.0258 -1.2520" Properties=species:S:1:pos:R:3 comment="TlCuAg2F4 | the Alexandria database | PBE | relaxed" e_form_raw_ev_per_atom=-1.188 density_g_cm3=6.7 pbc="T T T"
F -0.1872 -3.1912 3.3293
Tl 3.1599 -2.0588 3.0617
Ag 3.4206 -3.2538 -0.2484
F 0.4117 -5.2630 0.2081
F 3.1416 1.6411 -0.3504
Cu 0.1310 -4.2528 1.7844
Ag 2.5754 -0.5670 0.1466
F 1.4346 -2.5933 0.8352

# 4
4
Lattice="-0.8092 -2.4753 -1.2995 2.7046 -0.3506 -1.0163 2.1313 -4.4868 7.2195" Properties=species:S:1:pos:R:3 comment="CaCdRu2 | the Alexandria database | PBE | relaxed" delta_e_f_ev_per_atom=0.536 density_g_cm3=7.9 pbc="T T T"
Ca 1.4805 -2.5346 0.6470
Cd 2.5462 -4.7780 4.2567
Ru 2.0992 -4.4192 7.1108
Ru 1.0978 -2.3109 3.7184

Question: What is the formula in the first record?
Answer: Ba2TbPaS6